Density functional theory data (PBE) for a relaxed K5Ag crystal.

## Properties
Offset from the most stable computed form: 0 meV/atom
SG: No. 51

Cell lengths 12.7298, 5.2194, 10.4010 Å; angles 90.00, 90.00, 90.00 degrees
Sites, in units of the cell vectors:
K: 0.0000 0.0000 0.0000
K: 0.0763 0.5000 0.3125
K: 0.2500 0.0000 0.5828
K: 0.2500 0.5000 0.9477
K: 0.4237 0.5000 0.3125
K: 0.5000 0.0000 0.0000
K: 0.5763 0.5000 0.6875
K: 0.7500 0.0000 0.4172
K: 0.7500 0.5000 0.0523
K: 0.9237 0.5000 0.6875
Ag: 0.2500 0.0000 0.1968
Ag: 0.7500 0.0000 0.8032

---

Density functional theory data (PBE) for a relaxed NaLu2Al crystal.

## Properties
Offset from the most stable computed form: 0 meV/atom
SG: No. 123

Cell lengths 3.4761, 3.4761, 9.0426 Å; angles 90.00, 90.00, 90.00 degrees
Sites, in units of the cell vectors:
Na: 0.0000 0.0000 0.0000
Lu: 0.5000 0.5000 0.3047
Lu: 0.5000 0.5000 0.6953
Al: 0.0000 0.0000 0.5000

---

Density functional theory data (PBE) for a relaxed Cs2As2Se5 crystal.

## Properties
E_form (uncorrected): -480.5 meV/atom
SG: No. 12

Cell lengths 7.4784, 7.4784, 9.3492 Å; angles 106.97, 106.97, 41.36 degrees
Sites, in units of the cell vectors:
Cs: 0.0904 0.0904 0.3379
Cs: 0.9096 0.9096 0.6621
As: 0.3424 0.3424 0.0917
As: 0.6576 0.6576 0.9083
Se: 0.1553 0.1553 0.9884
Se: 0.3958 0.3958 0.3553
Se: 0.5000 0.5000 0.0000
Se: 0.6042 0.6042 0.6447
Se: 0.8447 0.8447 0.0116

---

Density functional theory data (PBE) for a relaxed Pu3FeB2Rh9 crystal.

## Properties
E: -9.059 eV/atom
SG: No. 164

Cell lengths 5.8218, 5.8218, 8.3179 Å; angles 90.00, 90.00, 120.00 degrees
Sites, in units of the cell vectors:
Pu: 0.0000 0.0000 0.0000
Pu: 0.3333 0.6667 0.6394
Pu: 0.6667 0.3333 0.3606
Fe: 0.0000 0.0000 0.5000
B: 0.3333 0.6667 0.1493
B: 0.6667 0.3333 0.8507
Rh: 0.0000 0.5000 0.0000
Rh: 0.1652 0.3304 0.2893
Rh: 0.1652 0.8348 0.2893
Rh: 0.3304 0.1652 0.7107
Rh: 0.5000 0.0000 0.0000
Rh: 0.5000 0.5000 0.0000
Rh: 0.6696 0.8348 0.2893
Rh: 0.8348 0.1652 0.7107
Rh: 0.8348 0.6696 0.7107

---

| no. | mass density (g/cm³) |
| --- | --- |
| 1 | 1.5 |
| 2 | 6.1 |
| 3 | 4.1 |
| 4 | 11.8 |